[1]
Compound: YCuO2
Source: Alexandria via LeMat-Bulk
Functional: PBE
Structure: optimized geometry

final energy	-111.298	eV per cell
DOS(E_F)	0.000	states/eV/atom
uncorrected formation energy	-1.837	eV/atom

abc: 5.6633 5.6633 5.6633
angles: 90.00 90.00 90.00
With the nearest neighbours (Å) after each atom.
Element x y z (fractional)
1 Y 0.0000 0.0000 0.0000  8 O 2.45
2 Y 0.0000 0.5000 0.5000  8 O 2.45
3 Y 0.5000 0.0000 0.5000  8 O 2.45
4 Y 0.5000 0.5000 0.0000  8 O 2.45
5 Cu 0.0000 0.0000 0.5000  8 O 2.45
6 Cu 0.0000 0.5000 0.0000  8 O 2.45
7 Cu 0.5000 0.0000 0.0000  8 O 2.45
8 Cu 0.5000 0.5000 0.5000  8 O 2.45
9 O 0.2500 0.2500 0.2500  4 Cu 2.45, 4 Y 2.45
10 O 0.2500 0.2500 0.7500  4 Cu 2.45, 4 Y 2.45
11 O 0.2500 0.7500 0.2500  4 Cu 2.45, 4 Y 2.45
12 O 0.2500 0.7500 0.7500  4 Cu 2.45, 4 Y 2.45
13 O 0.7500 0.2500 0.2500  4 Cu 2.45, 4 Y 2.45
14 O 0.7500 0.2500 0.7500  4 Cu 2.45, 4 Y 2.45
15 O 0.7500 0.7500 0.2500  4 Cu 2.45, 4 Y 2.45
16 O 0.7500 0.7500 0.7500  4 Cu 2.45, 4 Y 2.45

---

[2]
Compound: YCuO3
Source: Alexandria via LeMat-Bulk
Functional: PBE
Structure: optimized geometry

final energy	-29.900	eV per cell
DOS(E_F)	0.885	states/eV/atom
uncorrected formation energy	-0.893	eV/atom

abc: 4.3100 4.3100 4.3100
angles: 90.00 90.00 90.00
With the nearest neighbours (Å) after each atom.
Element x y z (fractional)
1 Y 0.0000 0.0000 0.0000  6 O 2.15
2 Cu 0.5000 0.5000 0.5000  12 O 3.05
3 O 0.0000 0.0000 0.5000  2 Y 2.15
4 O 0.0000 0.5000 0.0000  2 Y 2.15
5 O 0.5000 0.0000 0.0000  2 Y 2.15

---

[3]
Compound: Y6Cu11O24
Source: Alexandria via LeMat-Bulk
Functional: PBE
Structure: optimized geometry

final energy	-270.459	eV per cell
DOS(E_F)	0.352	states/eV/atom
uncorrected formation energy	-1.649	eV/atom

abc: 6.3209 8.1599 10.0685
angles: 66.17 81.52 89.03
With the nearest neighbours (Å) after each atom.
Element x y z (fractional)
1 Y 0.0736 0.4658 0.3235  8 O 2.26-2.46
2 Y 0.2463 0.8711 0.0002  8 O 2.24-2.47
3 Y 0.4244 0.7900 0.6724  8 O 2.23-2.45
4 Y 0.5756 0.2100 0.3276  8 O 2.23-2.45
5 Y 0.7537 0.1289 0.9998  8 O 2.24-2.47
6 Y 0.9264 0.5342 0.6765  8 O 2.26-2.46
7 Cu 0.0000 0.0000 0.5000  4 O 1.89-1.91
8 Cu 0.1572 0.1800 0.1587  4 O 1.86-1.90
9 Cu 0.1631 0.1680 0.6626  4 O 1.88-1.91
10 Cu 0.3304 0.3280 0.8329  4 O 1.83-1.90
11 Cu 0.3350 0.8308 0.3352  4 O 1.89-1.92
12 Cu 0.5000 0.5000 0.0000  4 O 1.84-1.89
13 Cu 0.5000 0.5000 0.5000  4 O 1.90-1.91
14 Cu 0.6650 0.1692 0.6648  4 O 1.89-1.92
15 Cu 0.6696 0.6720 0.1671  4 O 1.83-1.90
16 Cu 0.8369 0.8320 0.3374  4 O 1.88-1.91
17 Cu 0.8428 0.8200 0.8413  4 O 1.86-1.90
18 O 0.0081 0.9857 0.1579  2 Cu 1.86-1.91
19 O 0.0352 0.8119 0.6813  2 Cu 1.89
20 O 0.0388 0.3289 0.8790  1 Cu 1.83
21 O 0.0661 0.6982 0.4180  2 Cu 1.88-1.92
22 O 0.2959 0.9733 0.4447  2 Cu 1.89-1.91
23 O 0.3009 0.6583 0.9127  1 Cu 1.84
24 O 0.3060 0.5209 0.6561  2 Cu 1.86-1.91
25 O 0.3128 0.3639 0.1744  2 Cu 1.88-1.89
26 O 0.3343 0.3183 0.4837  2 Cu 1.90
27 O 0.3603 0.1460 0.0133  2 Cu 1.86-1.90
28 O 0.3728 0.6910 0.2226  2 Cu 1.90
29 O 0.3950 0.0392 0.7436  2 Cu 1.88-1.91
30 O 0.6050 0.9608 0.2564  2 Cu 1.88-1.91
31 O 0.6272 0.3090 0.7774  2 Cu 1.90
32 O 0.6397 0.8540 0.9867  2 Cu 1.86-1.90
33 O 0.6657 0.6817 0.5163  2 Cu 1.90
34 O 0.6872 0.6361 0.8256  2 Cu 1.88-1.89
35 O 0.6940 0.4791 0.3439  2 Cu 1.86-1.91
36 O 0.6991 0.3417 0.0873  1 Cu 1.84
37 O 0.7041 0.0267 0.5553  2 Cu 1.89-1.91
38 O 0.9339 0.3018 0.5820  2 Cu 1.88-1.92
39 O 0.9612 0.6711 0.1210  1 Cu 1.83
40 O 0.9648 0.1881 0.3187  2 Cu 1.89
41 O 0.9919 0.0143 0.8421  2 Cu 1.86-1.91

---

[4]
Compound: Y12Cu3O5
Source: Alexandria via LeMat-Bulk
Functional: PBE
Structure: optimized geometry

final energy	-574.668	eV per cell
DOS(E_F)	0.674	states/eV/atom
uncorrected formation energy	-1.451	eV/atom

abc: 13.1673 13.1673 13.1673
angles: 109.47 109.47 109.47
With the nearest neighbours (Å) after each atom.
Element x y z (fractional)
1 Y 0.0191 0.2050 0.1142  1 O 2.20
2 Y 0.0191 0.3141 0.9048  1 O 2.20
3 Y 0.0908 0.7050 0.6859  1 O 2.20
4 Y 0.0908 0.8858 0.4048  1 O 2.20
5 Y 0.0952 0.6142 0.4092  1 O 2.20
6 Y 0.0952 0.9809 0.6859  1 O 2.20
7 Y 0.1142 0.0191 0.2050  1 O 2.20
8 Y 0.1142 0.5952 0.9092  1 O 2.20
9 Y 0.1859 0.2050 0.5908  1 O 2.20
10 Y 0.1859 0.4809 0.5952  1 O 2.20
11 Y 0.2050 0.1142 0.0191  1 O 2.20
12 Y 0.2050 0.5908 0.1859  1 O 2.20
13 Y 0.2950 0.3141 0.9092  1 O 2.20
14 Y 0.2950 0.4809 0.3858  1 O 2.20
15 Y 0.3141 0.9048 0.0191  1 O 2.20
16 Y 0.3141 0.9092 0.2950  1 O 2.20
17 Y 0.3858 0.2950 0.4809  1 O 2.20
18 Y 0.3858 0.5908 0.9048  1 O 2.20
19 Y 0.4048 0.0908 0.8858  1 O 2.20
20 Y 0.4048 0.8141 0.5191  1 O 2.20
21 Y 0.4092 0.0952 0.6142  1 O 2.20
22 Y 0.4092 0.8141 0.7950  1 O 2.20
23 Y 0.4809 0.3858 0.2950  1 O 2.20
24 Y 0.4809 0.5952 0.1859  1 O 2.20
25 Y 0.5191 0.4048 0.8141  1 O 2.20
26 Y 0.5191 0.6142 0.7050  1 O 2.20
27 Y 0.5908 0.1859 0.2050  1 O 2.20
28 Y 0.5908 0.9048 0.3858  1 O 2.20
29 Y 0.5952 0.1859 0.4809  1 O 2.20
30 Y 0.5952 0.9092 0.1142  1 O 2.20
31 Y 0.6142 0.4092 0.0952  1 O 2.20
32 Y 0.6142 0.7050 0.5191  1 O 2.20
33 Y 0.6859 0.0908 0.7050  1 O 2.20
34 Y 0.6859 0.0952 0.9809  1 O 2.20
35 Y 0.7050 0.5191 0.6142  1 O 2.20
36 Y 0.7050 0.6859 0.0908  1 O 2.20
37 Y 0.7950 0.4092 0.8141  1 O 2.20
38 Y 0.7950 0.8858 0.9809  1 O 2.20
39 Y 0.8141 0.5191 0.4048  1 O 2.20
40 Y 0.8141 0.7950 0.4092  1 O 2.20
41 Y 0.8858 0.4048 0.0908  1 O 2.20
42 Y 0.8858 0.9809 0.7950  1 O 2.20
43 Y 0.9048 0.0191 0.3141  1 O 2.20
44 Y 0.9048 0.3858 0.5908  1 O 2.20
45 Y 0.9092 0.1142 0.5952  1 O 2.20
46 Y 0.9092 0.2950 0.3141  1 O 2.20
47 Y 0.9809 0.6859 0.0952  1 O 2.20
48 Y 0.9809 0.7950 0.8858  1 O 2.20
49 Cu 0.1250 0.2500 0.3750  8 Y 3.00-3.04
50 Cu 0.1250 0.3750 0.7500  8 Y 3.00-3.04
51 Cu 0.2500 0.3750 0.1250  8 Y 3.00-3.04
52 Cu 0.2500 0.8750 0.6250  8 Y 3.00-3.04
53 Cu 0.3750 0.1250 0.2500  8 Y 3.00-3.04
54 Cu 0.3750 0.7500 0.1250  8 Y 3.00-3.04
55 Cu 0.6250 0.2500 0.8750  8 Y 3.00-3.04
56 Cu 0.6250 0.8750 0.7500  8 Y 3.00-3.04
57 Cu 0.7500 0.1250 0.3750  8 Y 3.00-3.04
58 Cu 0.7500 0.6250 0.8750  8 Y 3.00-3.04
59 Cu 0.8750 0.6250 0.2500  8 Y 3.00-3.04
60 Cu 0.8750 0.7500 0.6250  8 Y 3.00-3.04
61 O 0.0000 0.0000 0.0000  6 Y 2.49
62 O 0.0000 0.0000 0.5000  6 Y 2.49
63 O 0.0000 0.5000 0.0000  6 Y 2.49
64 O 0.0000 0.5000 0.5000  6 Y 2.49
65 O 0.1250 0.7500 0.8750  4 Y 2.20
66 O 0.1250 0.8750 0.2500  4 Y 2.20
67 O 0.2500 0.1250 0.8750  4 Y 2.20
68 O 0.2500 0.6250 0.3750  4 Y 2.20
69 O 0.3750 0.2500 0.6250  4 Y 2.20
70 O 0.3750 0.6250 0.7500  4 Y 2.20
71 O 0.5000 0.0000 0.0000  6 Y 2.49
72 O 0.5000 0.0000 0.5000  6 Y 2.49
73 O 0.5000 0.5000 0.0000  6 Y 2.49
74 O 0.5000 0.5000 0.5000  6 Y 2.49
75 O 0.6250 0.3750 0.2500  4 Y 2.20
76 O 0.6250 0.7500 0.3750  4 Y 2.20
77 O 0.7500 0.3750 0.6250  4 Y 2.20
78 O 0.7500 0.8750 0.1250  4 Y 2.20
79 O 0.8750 0.1250 0.7500  4 Y 2.20
80 O 0.8750 0.2500 0.1250  4 Y 2.20

---

[5]
Compound: YCu3O6
Source: Alexandria via LeMat-Bulk
Functional: PBE
Structure: optimized geometry

final energy	-58.574	eV per cell
DOS(E_F)	0.632	states/eV/atom
uncorrected formation energy	-1.007	eV/atom
excess energy over the best structure of this formula in the dataset	0	meV/atom

abc: 6.0031 6.0031 6.0257
angles: 97.27 97.27 34.38
With the nearest neighbours (Å) after each atom.
Element x y z (fractional)
1 Y 0.0000 0.0000 0.0000  8 O 2.33-2.42
2 Cu 0.0000 0.0000 0.5000  2 O 1.79
3 Cu 0.2821 0.2821 0.7418  4 O 1.83-1.86
4 Cu 0.7179 0.7179 0.2582  4 O 1.83-1.86
5 O 0.1215 0.1215 0.7203  2 Cu 1.79-1.83
6 O 0.2029 0.2029 0.1746  2 Cu 1.85
7 O 0.4444 0.4444 0.7436  1 Cu 1.86
8 O 0.5556 0.5556 0.2564  1 Cu 1.86
9 O 0.7971 0.7971 0.8254  2 Cu 1.85
10 O 0.8785 0.8785 0.2797  2 Cu 1.79-1.83

---

[6]
Compound: YCu2O
Source: Alexandria via LeMat-Bulk
Functional: PBE
Structure: optimized geometry

final energy	-90.983	eV per cell
DOS(E_F)	0.377	states/eV/atom
uncorrected formation energy	-0.783	eV/atom

abc: 7.6453 7.6453 4.4027
angles: 90.00 90.00 90.00
With the nearest neighbours (Å) after each atom.
Element x y z (fractional)
1 Y 0.0000 0.0000 0.0000  2 O 2.20
2 Y 0.0000 0.5000 0.2500  2 O 2.20
3 Y 0.5000 0.0000 0.7500  2 O 2.20
4 Y 0.5000 0.5000 0.5000  2 O 2.20
5 Cu 0.1869 0.2500 0.6250  2 Cu 2.40, 2 O 2.45
6 Cu 0.2500 0.6869 0.8750  2 Cu 2.40, 2 O 2.45
7 Cu 0.2500 0.8131 0.3750  2 Cu 2.40, 2 O 2.45
8 Cu 0.3131 0.2500 0.1250  2 Cu 2.40, 2 O 2.45
9 Cu 0.6869 0.7500 0.1250  2 Cu 2.40, 2 O 2.45
10 Cu 0.7500 0.1869 0.3750  2 Cu 2.40, 2 O 2.45
11 Cu 0.7500 0.3131 0.8750  2 Cu 2.40, 2 O 2.45
12 Cu 0.8131 0.7500 0.6250  2 Cu 2.40, 2 O 2.45
13 O 0.0000 0.0000 0.5000  2 Y 2.20, 4 Cu 2.45
14 O 0.0000 0.5000 0.7500  2 Y 2.20, 4 Cu 2.45
15 O 0.5000 0.0000 0.2500  2 Y 2.20, 4 Cu 2.45
16 O 0.5000 0.5000 0.0000  2 Y 2.20, 4 Cu 2.45

---

[7]
Compound: Y4Cu2O
Source: Alexandria via LeMat-Bulk
Functional: PBE
Structure: optimized geometry

final energy	-90.526	eV per cell
DOS(E_F)	1.283	states/eV/atom
uncorrected formation energy	-0.894	eV/atom

abc: 4.6948 4.6948 13.8572
angles: 90.00 90.00 90.00
With the nearest neighbours (Å) after each atom.
Element x y z (fractional)
1 Y 0.0000 0.0000 0.1864  1 O 2.58, 1 Cu 2.68
2 Y 0.0000 0.0000 0.8136  1 O 2.58, 1 Cu 2.68
3 Y 0.0000 0.5000 0.0000  2 O 2.35
4 Y 0.0000 0.5000 0.5000  2 O 2.35
5 Y 0.5000 0.0000 0.0000  2 O 2.35
6 Y 0.5000 0.0000 0.5000  2 O 2.35
7 Y 0.5000 0.5000 0.3136  1 O 2.58, 1 Cu 2.68
8 Y 0.5000 0.5000 0.6864  1 O 2.58, 1 Cu 2.68
9 Cu 0.0000 0.0000 0.3801  5 Y 2.68-2.88
10 Cu 0.0000 0.0000 0.6199  5 Y 2.68-2.88
11 Cu 0.5000 0.5000 0.1199  5 Y 2.68-2.88
12 Cu 0.5000 0.5000 0.8801  5 Y 2.68-2.88
13 O 0.0000 0.0000 0.0000  6 Y 2.35-2.58
14 O 0.5000 0.5000 0.5000  6 Y 2.35-2.58

---

[8]
Compound: YCuO2
Source: Alexandria via LeMat-Bulk
Functional: PBE
Structure: optimized geometry

final energy	-89.902	eV per cell
DOS(E_F)	0.000	states/eV/atom
uncorrected formation energy	-2.373	eV/atom

abc: 3.5629 3.5629 17.1840
angles: 90.00 90.00 120.00
With the nearest neighbours (Å) after each atom.
Element x y z (fractional)
1 Y 0.0000 0.0000 0.0000  6 O 2.30
2 Y 0.3333 0.6667 0.6667  6 O 2.30
3 Y 0.6667 0.3333 0.3333  6 O 2.30
4 Cu 0.0000 0.0000 0.5000  2 O 1.83
5 Cu 0.3333 0.6667 0.1667  2 O 1.83
6 Cu 0.6667 0.3333 0.8333  2 O 1.83
7 O 0.0000 0.0000 0.3935  1 Cu 1.83
8 O 0.0000 0.0000 0.6065  1 Cu 1.83
9 O 0.3333 0.6667 0.0602  1 Cu 1.83
10 O 0.3333 0.6667 0.2731  1 Cu 1.83
11 O 0.6667 0.3333 0.7269  1 Cu 1.83
12 O 0.6667 0.3333 0.9398  1 Cu 1.83

---

no.,total magnetic moment (Bohr magnetons per cell)
1,0.00
2,2.00
3,1.52
4,0.00
5,1.50
6,0.00
7,0.00
8,0.00